# 1
An optimized crystal structure of BaSr2H. Source: the Alexandria database, functional GGA-PBE.

Computed properties:
- V (Å³/atom) = 39.16
- N(E_F) (states/eV/cell) = 10.45
- total moment (μB per formula unit) = 0.0
- E_tot (eV/cell) = -26.03

```
data_BaSr2H
_chemical_formula_sum 'Ba3 Sr6 H3'
_cell_length_a 4.0571
_cell_length_b 4.0571
_cell_length_c 32.9653
_cell_angle_alpha 90.00
_cell_angle_beta 90.00
_cell_angle_gamma 120.00
_space_group_name_H-M_alt 'R -3 m'
_space_group_IT_number 166
_space_group_name_Hall '-R 3 2"'
loop_
_atom_site_label
_atom_site_type_symbol
_atom_site_fract_x
_atom_site_fract_y
_atom_site_fract_z
Ba1 Ba 0.0000 0.0000 0.0000
Sr1 Sr 0.0000 0.0000 0.1187
H1 H 0.0000 0.0000 0.5000
```

# 2
An optimized crystal structure of NaZnPdF6. Source: the Alexandria database, functional GGA-PBE.

Computed properties:
- V (Å³/atom) = 13.99
- N(E_F) (states/eV/cell) = 13.42
- total moment (μB per formula unit) = 1.0
- ΔE_f (raw) (eV/atom) = -1.94
- E_tot (eV/cell) = -72.95

```
data_NaZnPdF6
_chemical_formula_sum 'Na2 Zn2 Pd2 F12'
_cell_length_a 5.4569
_cell_length_b 5.4569
_cell_length_c 9.7617
_cell_angle_alpha 90.00
_cell_angle_beta 90.00
_cell_angle_gamma 120.00
_space_group_name_H-M_alt 'P -3 1 c'
_space_group_IT_number 163
_space_group_name_Hall '-P 3 2c'
loop_
_atom_site_label
_atom_site_type_symbol
_atom_site_fract_x
_atom_site_fract_y
_atom_site_fract_z
Na1 Na 0.0000 0.0000 0.0000
Zn1 Zn 0.3333 0.6667 0.2500
Pd1 Pd 0.3333 0.6667 0.7500
F1 F 0.0010 0.3565 0.6387
```

# 3
An optimized crystal structure of TbPaCuO5. Source: the Alexandria database, functional GGA-PBE.

Computed properties:
- V (Å³/atom) = 14.38
- N(E_F) (states/eV/cell) = 15.37
- total moment (μB per formula unit) = 1.0
- ΔE_f (raw) (eV/atom) = -2.66
- E_tot (eV/cell) = -257.27

```
data_TbPaCuO5
_chemical_formula_sum 'Tb4 Pa4 Cu4 O20'
_cell_length_a 6.7054
_cell_length_b 9.6149
_cell_length_c 7.4263
_cell_angle_alpha 90.00
_cell_angle_beta 106.07
_cell_angle_gamma 90.00
_space_group_name_H-M_alt 'C 1 2/c 1'
_space_group_IT_number 15
loop_
_space_group_symop_operation_xyz
'x,y,z'
'-x,-y,-z'
'-x,y,-z+1/2'
'x,-y,z+1/2'
'x+1/2,y+1/2,z'
'-x+1/2,-y+1/2,-z'
'-x+1/2,y+1/2,-z+1/2'
'x+1/2,-y+1/2,z+1/2'
loop_
_atom_site_label
_atom_site_type_symbol
_atom_site_fract_x
_atom_site_fract_y
_atom_site_fract_z
Tb1 Tb 0.0000 0.1246 0.2500
Pa1 Pa 0.0000 0.5000 0.0000
Cu1 Cu 0.0000 0.1881 0.7500
O1 O 0.0000 0.3737 0.2500
O2 O 0.1536 0.3288 0.6634
O3 O 0.1643 0.0540 0.9404
```

# 4
An optimized crystal structure of TiTl2Ir3O12. Source: the Alexandria database, functional GGA-PBE.

Computed properties:
- V (Å³/atom) = 14.88
- N(E_F) (states/eV/cell) = 33.33
- total moment (μB per formula unit) = 4.5
- ΔE_f (raw) (eV/atom) = -1.00
- E_tot (eV/cell) = -350.37

```
data_TiTl2Ir3O12
_chemical_formula_sum 'Ti3 Tl6 Ir9 O36'
_cell_length_a 7.2048
_cell_length_b 7.2048
_cell_length_c 17.8700
_cell_angle_alpha 90.00
_cell_angle_beta 90.00
_cell_angle_gamma 120.00
_space_group_name_H-M_alt 'R -3 m'
_space_group_IT_number 166
_space_group_name_Hall '-R 3 2"'
loop_
_atom_site_label
_atom_site_type_symbol
_atom_site_fract_x
_atom_site_fract_y
_atom_site_fract_z
Ti1 Ti 0.0000 0.0000 0.0000
Tl1 Tl 0.0000 0.0000 0.3894
Ir1 Ir 0.0000 0.5000 0.5000
O1 O 0.0665 0.5332 0.8563
O2 O 0.0815 0.5408 0.6024
```

# 5
An optimized crystal structure of Ac4Pr3Tm4. Source: the Alexandria database, functional GGA-PBE.

Computed properties:
- energy relative to the elements (meV per atom) = 87
- V (Å³/atom) = 37.15
- N(E_F) (states/eV/cell) = 32.87
- total moment (μB per formula unit) = 0.0
- E_tot (eV/cell) = -95.40

```
data_Ac4Pr3Tm4
_chemical_formula_sum 'Ac8 Pr6 Tm8'
_cell_length_a 37.6085
_cell_length_b 5.8568
_cell_length_c 3.7139
_cell_angle_alpha 90.00
_cell_angle_beta 92.30
_cell_angle_gamma 90.00
_space_group_name_H-M_alt 'C 1 2/m 1'
_space_group_IT_number 12
loop_
_space_group_symop_operation_xyz
'x,y,z'
'-x,-y,-z'
'-x,y,-z'
'x,-y,z'
'x+1/2,y+1/2,z'
'-x+1/2,-y+1/2,-z'
'-x+1/2,y+1/2,-z'
'x+1/2,-y+1/2,z'
loop_
_atom_site_label
_atom_site_type_symbol
_atom_site_fract_x
_atom_site_fract_y
_atom_site_fract_z
Ac1 Ac 0.0923 0.0000 0.1900
Ac2 Ac 0.2210 0.5000 0.2421
Pr1 Pr 0.0000 0.0000 0.5000
Pr2 Pr 0.1331 0.5000 0.7035
Tm1 Tm 0.0394 0.5000 0.7898
Tm2 Tm 0.1798 0.0000 0.7272
```

# 6
An optimized crystal structure of ScAgSb2. Source: the Alexandria database, functional GGA-PBE.

Computed properties:
- V (Å³/atom) = 24.14
- N(E_F) (states/eV/cell) = 1.45
- total moment (μB per formula unit) = 0.0
- ΔE_f (raw) (eV/atom) = -0.18
- E_tot (eV/cell) = -18.15

```
data_ScAgSb2
_chemical_formula_sum 'Sc1 Ag1 Sb2'
_cell_length_a 3.2765
_cell_length_b 3.2765
_cell_length_c 8.9927
_cell_angle_alpha 90.00
_cell_angle_beta 90.00
_cell_angle_gamma 90.00
_space_group_name_H-M_alt 'P 4 m m'
_space_group_IT_number 99
loop_
_space_group_symop_operation_xyz
'x,y,z'
'-y,x,z'
'-x,-y,z'
'y,-x,z'
'-x,y,z'
'y,x,z'
'x,-y,z'
'-y,-x,z'
loop_
_atom_site_label
_atom_site_type_symbol
_atom_site_fract_x
_atom_site_fract_y
_atom_site_fract_z
Sc1 Sc 0.0000 0.0000 0.0000
Ag1 Ag 0.5000 0.5000 0.2077
Sb1 Sb 0.0000 0.0000 0.4266
Sb2 Sb 0.5000 0.5000 0.7705
```

# 7
An optimized crystal structure of Mo3Pb. Source: the Alexandria database, functional GGA-PBE.

Computed properties:
- energy relative to the elements (meV per atom) = 594
- V (Å³/atom) = 17.94
- N(E_F) (states/eV/cell) = 3.57
- total moment (μB per formula unit) = 0.0
- E_tot (eV/cell) = -33.83

```
data_Mo3Pb
_chemical_formula_sum 'Mo3 Pb1'
_cell_length_a 3.2337
_cell_length_b 4.6090
_cell_length_c 4.8142
_cell_angle_alpha 90.00
_cell_angle_beta 90.00
_cell_angle_gamma 90.00
_space_group_name_H-M_alt 'P m m 2'
_space_group_IT_number 25
loop_
_space_group_symop_operation_xyz
'x,y,z'
'-x,-y,z'
'-x,y,z'
'x,-y,z'
loop_
_atom_site_label
_atom_site_type_symbol
_atom_site_fract_x
_atom_site_fract_y
_atom_site_fract_z
Mo1 Mo 0.0000 0.0000 0.0000
Mo2 Mo 0.0000 0.5000 0.3012
Mo3 Mo 0.5000 0.0000 0.4380
Pb1 Pb 0.5000 0.5000 0.8076
```

# 8
An optimized crystal structure of HfZrSb2I. Source: the Alexandria database, functional GGA-PBE.

Computed properties:
- V (Å³/atom) = 33.34
- N(E_F) (states/eV/cell) = 5.13
- total moment (μB per formula unit) = 1.7
- ΔE_f (raw) (eV/atom) = 0.53
- E_tot (eV/cell) = -25.64

```
data_HfZrSb2I
_chemical_formula_sum 'Hf1 Zr1 Sb2 I1'
_cell_length_a 5.5006
_cell_length_b 5.5006
_cell_length_c 5.5097
_cell_angle_alpha 90.00
_cell_angle_beta 90.00
_cell_angle_gamma 90.00
_space_group_name_H-M_alt 'P 4/m m m'
_space_group_IT_number 123
_space_group_name_Hall '-P 4 2'
loop_
_atom_site_label
_atom_site_type_symbol
_atom_site_fract_x
_atom_site_fract_y
_atom_site_fract_z
Hf1 Hf 0.0000 0.0000 0.0000
Zr1 Zr 0.5000 0.5000 0.5000
Sb1 Sb 0.0000 0.5000 0.0000
I1 I 0.0000 0.0000 0.5000
```

# 9
An optimized crystal structure of YCdCu2. Source: the Alexandria database, functional GGA-PBE.

Computed properties:
- energy relative to the elements (meV per atom) = -99
- V (Å³/atom) = 18.86
- N(E_F) (states/eV/cell) = 1.79
- total moment (μB per formula unit) = 0.0
- E_tot (eV/cell) = -15.97

```
data_YCdCu2
_chemical_formula_sum 'Y1 Cd1 Cu2'
_cell_length_a 3.3816
_cell_length_b 3.3992
_cell_length_c 6.5644
_cell_angle_alpha 90.00
_cell_angle_beta 90.00
_cell_angle_gamma 90.00
_space_group_name_H-M_alt 'P m m m'
_space_group_IT_number 47
loop_
_space_group_symop_operation_xyz
'x,y,z'
'-x,-y,-z'
'-x,-y,z'
'x,y,-z'
'x,-y,-z'
'-x,y,z'
'-x,y,-z'
'x,-y,z'
loop_
_atom_site_label
_atom_site_type_symbol
_atom_site_fract_x
_atom_site_fract_y
_atom_site_fract_z
Y1 Y 0.0000 0.0000 0.0000
Cd1 Cd 0.0000 0.0000 0.5000
Cu1 Cu 0.5000 0.5000 0.2706
```

# 10
An optimized crystal structure of Dy2YPa. Source: the Alexandria database, functional GGA-PBE.

Computed properties:
- energy relative to the elements (meV per atom) = 117
- V (Å³/atom) = 29.49
- N(E_F) (states/eV/cell) = 18.56
- total moment (μB per formula unit) = 0.0
- E_tot (eV/cell) = -74.09

```
data_Dy2YPa
_chemical_formula_sum 'Dy6 Y3 Pa3'
_cell_length_a 3.4375
_cell_length_b 3.4375
_cell_length_c 34.5757
_cell_angle_alpha 90.00
_cell_angle_beta 90.00
_cell_angle_gamma 120.00
_space_group_name_H-M_alt 'R 3 m'
_space_group_IT_number 160
_space_group_name_Hall 'R 3 -2"'
loop_
_atom_site_label
_atom_site_type_symbol
_atom_site_fract_x
_atom_site_fract_y
_atom_site_fract_z
Dy1 Dy 0.0000 0.0000 0.0000
Dy2 Dy 0.0000 0.0000 0.1608
Y1 Y 0.0000 0.0000 0.5803
Pa1 Pa 0.0000 0.0000 0.4143
```

What is the N(E_F) in the second record? 13.42 states/eV/cell

Number 2 is which compound? NaZnPdF6

What is the formula in the second record? NaZnPdF6

Look up the N(E_F) of the sixth one. 1.45 states/eV/cell